Sn3AuSe4: relaxed, GGA-PBE.

Unit cell a=5.892 b=11.752 c=5.892 alpha=90.00 beta=90.00 gamma=90.00
Space group Pmmn (No. 59, origin choice 2)
One atom of each set of equivalent atoms:
Sn1 0.250 0.000 0.249
Sn2 0.250 0.250 0.750
Au1 0.250 0.750 0.749
Se1 0.250 0.250 0.250
Se2 0.250 0.509 0.750
Se3 0.250 0.750 0.249

Energy above the most stable polymorph in this dataset in meV/atom: 0
Fermi-level density of states in states/eV per cell: 5.3
Formation energy from raw total energies in eV per atom: -0.28
Total energy in eV per cell: -63.0


SnAu2Se: relaxed, GGA-PBE.

Unit cell a=6.785 b=6.785 c=9.155 alpha=90.00 beta=90.00 gamma=90.00
Space group I-42d (No. 122)
One atom of each set of equivalent atoms:
Sn1 0.000 0.000 0.000
Au1 0.237 0.250 0.625
Se1 0.000 0.000 0.500

Fermi-level density of states in states/eV per cell: 2.1
Formation energy from raw total energies in eV per atom: 0.03
Total energy in eV per cell: -55.7


Sn3AuSe4: relaxed, GGA-PBE.

Unit cell a=4.0826 b=4.0826 c=57.0115 alpha=90.00 beta=90.00 gamma=120.00
Space group R3m (No. 160, hexagonal axes)
One atom of each set of equivalent atoms:
Sn1 0.0000 0.0000 0.0000
Sn2 0.0000 0.0000 0.2431
Sn3 0.0000 0.0000 0.4860
Au1 0.0000 0.0000 0.7430
Se1 0.0000 0.0000 0.0624
Se2 0.0000 0.0000 0.3067
Se3 0.0000 0.0000 0.5499
Se4 0.0000 0.0000 0.7928

Energy above the most stable polymorph in this dataset in meV/atom: 95
Fermi-level density of states in states/eV per cell: 7.5
Formation energy from raw total energies in eV per atom: -0.19
Total energy in eV per cell: -92.2


Sn3AuSe: relaxed, GGA-PBE.

Unit cell a=5.511 b=5.511 c=5.511 alpha=90.00 beta=90.00 gamma=90.00
Space group Pm-3m (No. 221)
One atom of each set of equivalent atoms:
Sn1 0.000 0.000 0.500
Au1 0.500 0.500 0.500
Se1 0.000 0.000 0.000

Energy above the most stable polymorph in this dataset in meV/atom: 260
Fermi-level density of states in states/eV per cell: 3.4
Formation energy from raw total energies in eV per atom: 0.53
Total energy in eV per cell: -16.1


Sn3AuSe: relaxed, GGA-PBE.

Unit cell a=5.378 b=5.378 c=5.378 alpha=90.00 beta=90.00 gamma=90.00
Space group Pm-3m (No. 221)
One atom of each set of equivalent atoms:
Sn1 0.000 0.000 0.500
Au1 0.000 0.000 0.000
Se1 0.500 0.500 0.500

Energy above the most stable polymorph in this dataset in meV/atom: 0
Fermi-level density of states in states/eV per cell: 2.1
Formation energy from raw total energies in eV per atom: 0.27
Total energy in eV per cell: -17.4


SnAuSe2: relaxed, GGA-PBE.

Unit cell a=6.174 b=6.174 c=12.730 alpha=90.00 beta=90.00 gamma=90.00
Space group I-42d (No. 122)
One atom of each set of equivalent atoms:
Sn1 0.000 0.000 0.000
Au1 0.000 0.000 0.500
Se1 0.233 0.250 0.625

Fermi-level density of states in states/eV per cell: 11.6
Formation energy from raw total energies in eV per atom: -0.12
Total energy in eV per cell: -58.9


SnAuSe2: relaxed, GGA-PBE.

Unit cell a=7.942 b=10.421 c=6.410 alpha=90.00 beta=90.00 gamma=90.00
Space group Pna2_1 (No. 33)
One atom of each set of equivalent atoms:
Sn1 0.102 0.107 0.000
Au1 0.151 0.465 0.915
Se1 0.075 0.690 0.371
Se2 0.105 0.108 0.423

Fermi-level density of states in states/eV per cell: 6.4
Formation energy from raw total energies in eV per atom: -0.17
Total energy in eV per cell: -59.7


Sn5Au3Se12: relaxed, GGA-PBE.

Unit cell a=16.817 b=16.817 c=16.817 alpha=90.00 beta=90.00 gamma=90.00
Space group Ia-3d (No. 230)
One atom of each set of equivalent atoms:
Sn1 0.000 0.000 0.000
Sn2 0.000 0.250 0.375
Au1 0.000 0.250 0.125
Se1 0.004 0.036 0.659

Fermi-level density of states in states/eV per cell: 104.9
Formation energy from raw total energies in eV per atom: -0.02
Total energy in eV per cell: -576.5


Sn2AuSe: relaxed, GGA-PBE.

Unit cell a=3.9684 b=3.9684 c=7.4680 alpha=90.00 beta=90.00 gamma=120.00
Space group P-3m1 (No. 164)
One atom of each set of equivalent atoms:
Sn1 0.3333 0.6667 0.2612
Au1 0.0000 0.0000 0.5000
Se1 0.0000 0.0000 0.0000

Fermi-level density of states in states/eV per cell: 1.5
Formation energy from raw total energies in eV per atom: -0.17
Total energy in eV per cell: -15.5


SnTe2AuSe: relaxed, GGA-PBE.

Unit cell a=5.484 b=5.484 c=5.085 alpha=90.00 beta=90.00 gamma=90.00
Space group P4/mmm (No. 123)
One atom of each set of equivalent atoms:
Sn1 0.000 0.000 0.000
Te1 0.000 0.500 0.500
Au1 0.500 0.500 0.500
Se1 0.500 0.500 0.000

Energy above the most stable polymorph in this dataset in meV/atom: 0
Fermi-level density of states in states/eV per cell: 5.6
Formation energy from raw total energies in eV per atom: 0.31
Total energy in eV per cell: -15.5


Sn2TeAuSe3: relaxed, GGA-PBE.

Unit cell a=8.2849 b=8.2849 c=20.2962 alpha=90.00 beta=90.00 gamma=120.00
Space group R-3m (No. 166, hexagonal axes)
One atom of each set of equivalent atoms:
Sn1 0.0000 0.0000 0.0000
Sn2 0.0000 0.5000 0.5000
Te1 0.0000 0.0000 0.2561
Au1 0.0000 0.0000 0.4013
Se1 0.0189 0.5095 0.7545

Fermi-level density of states in states/eV per cell: 21.4
Formation energy from raw total energies in eV per atom: -0.20
Total energy in eV per cell: -157.7


SnTe2AuSe: relaxed, GGA-PBE.

Unit cell a=5.763 b=5.763 c=5.082 alpha=90.00 beta=90.00 gamma=90.00
Space group P4/mmm (No. 123)
One atom of each set of equivalent atoms:
Sn1 0.000 0.000 0.000
Te1 0.000 0.500 0.000
Au1 0.000 0.000 0.500
Se1 0.500 0.500 0.500

Energy above the most stable polymorph in this dataset in meV/atom: 366
Fermi-level density of states in states/eV per cell: 5.9
Formation energy from raw total energies in eV per atom: 0.68
Total energy in eV per cell: -13.7